Record 1
NaZnCrO4 | PBE with a Hubbard U | optimized geometry

Cell lengths 5.2451, 5.2451, 5.4926 Å; angles 118.52, 118.52, 90.00 degrees
With the nearest neighbours (Å) after each atom.
Element x y z (fractional)
O (0.2193, 0.0916, 0.7507)  1 Cr 1.73
O (0.9084, 0.4686, 0.2493)  1 Cr 1.73
Na (0.0000, 0.0000, 0.0000)  4 O 2.36
Zn (0.5000, 0.5000, 0.0000)  4 O 1.98
O (0.3409, 0.7807, 0.2493)  1 Cr 1.73
O (0.5314, 0.6591, 0.7507)  1 Cr 1.73
Cr (0.2500, 0.7500, 0.5000)  4 O 1.73

Values from the calculation:
E_tot: -40.275 eV per cell
total moment: 0.14 μB per atom
symmetry: I-4 (82)



Record 2
NaZrCr2O | PBE with a Hubbard U | optimized geometry

Cell lengths 4.3120, 4.6316, 4.3120 Å; angles 90.00, 90.00, 90.00 degrees
With the nearest neighbours (Å) after each atom.
Element x y z (fractional)
Cr (0.0000, 0.0000, 0.5000)  2 O 2.16
Cr (0.5000, 0.0000, 0.0000)  2 O 2.16
Zr (0.5000, 0.5000, 0.5000)  4 Na 3.05, 8 Cr 3.16
O (0.0000, 0.0000, 0.0000)  4 Cr 2.16, 2 Na 2.32
Na (0.0000, 0.5000, 0.0000)  2 O 2.32

Values from the calculation:
E_tot: -29.528 eV per cell
total moment: 1.14 μB per atom
Fermi-level density of states: 7.20 states/eV/f.u.
symmetry: P4/mmm (123)